AlPtCN2 after structural relaxation, computed with PBE.

a b c (Å): 3.7315 3.7315 3.9306
angles (deg): 90.00 90.00 90.00
Fractional positions:
Al 0.0000 0.0000 0.0000
Pt 0.5000 0.5000 0.5000
C 0.0000 0.0000 0.5000
N 0.0000 0.5000 0.0000
N 0.5000 0.0000 0.0000

Properties
Uncorrected energy   -27.341 eV/f.u.

=====

Rb2AlCN after structural relaxation, computed with PBE.

a b c (Å): 6.2113 6.2113 3.6721
angles (deg): 90.00 90.00 90.00
Fractional positions:
Rb 0.0000 0.5000 0.0000
Rb 0.5000 0.0000 0.0000
Al 0.0000 0.0000 0.5000
C 0.5000 0.5000 0.5000
N 0.0000 0.0000 0.0000

Properties
Uncorrected energy   -18.165 eV/f.u.

=====

AlRh2CN after structural relaxation, computed with PBE.

a b c (Å): 4.4300 4.4300 2.9362
angles (deg): 90.00 90.00 90.00
Fractional positions:
Al 0.0000 0.0000 0.0000
Rh 0.0000 0.5000 0.5000
Rh 0.5000 0.0000 0.5000
C 0.5000 0.5000 0.5000
N 0.5000 0.5000 0.0000

Properties
Uncorrected energy   -32.076 eV/f.u.

=====

AlCSN2 after structural relaxation, computed with PBE.

a b c (Å): 3.5743 3.5743 5.3976
angles (deg): 90.00 90.00 90.00
Fractional positions:
Al 0.0000 0.0000 0.0000
C 0.5000 0.5000 0.5000
S 0.0000 0.0000 0.5000
N 0.0000 0.5000 0.0000
N 0.5000 0.0000 0.0000

Properties
Distance to the lowest polymorph of the same formula   0.130 eV/atom
Uncorrected energy   -23.958 eV/f.u.

=====

AlCSN2 after structural relaxation, computed with PBE.

a b c (Å): 3.4910 3.4910 3.9521
angles (deg): 90.00 90.00 90.00
Fractional positions:
Al 0.0000 0.0000 0.0000
C 0.5000 0.5000 0.5000
S 0.5000 0.5000 0.0000
N 0.0000 0.5000 0.5000
N 0.5000 0.0000 0.5000

Properties
Distance to the lowest polymorph of the same formula   0.000 eV/atom
Uncorrected energy   -24.608 eV/f.u.

=====

AlCS2N after structural relaxation, computed with PBE.

a b c (Å): 4.6648 4.6648 3.6380
angles (deg): 90.00 90.00 90.00
Fractional positions:
Al 0.0000 0.0000 0.0000
C 0.5000 0.5000 0.5000
S 0.0000 0.5000 0.0000
S 0.5000 0.0000 0.0000
N 0.0000 0.0000 0.5000

Properties
Distance to the lowest polymorph of the same formula   0.983 eV/atom
Uncorrected energy   -21.209 eV/f.u.

=====

AlCS2N after structural relaxation, computed with PBE.

a b c (Å): 5.8075 5.8075 2.4362
angles (deg): 90.00 90.00 90.00
Fractional positions:
Al 0.0000 0.0000 0.0000
C 0.5000 0.5000 0.5000
S 0.0000 0.5000 0.5000
S 0.5000 0.0000 0.5000
N 0.5000 0.5000 0.0000

Properties
Distance to the lowest polymorph of the same formula   0.000 eV/atom
Uncorrected energy   -26.124 eV/f.u.

=====

Sc6Al2CN after structural relaxation, computed with PBE.

a b c (Å): 6.3136 6.3136 6.3136
angles (deg): 60.00 60.00 60.00
Fractional positions:
Sc 0.2492 0.2492 0.7508
Sc 0.2492 0.7508 0.2492
Sc 0.2492 0.7508 0.7508
Sc 0.7508 0.2492 0.2492
Sc 0.7508 0.2492 0.7508
Sc 0.7508 0.7508 0.2492
Al 0.2500 0.2500 0.2500
Al 0.7500 0.7500 0.7500
C 0.5000 0.5000 0.5000
N 0.0000 0.0000 0.0000

Properties
Uncorrected energy   -71.532 eV/f.u.

=====

Short version: magnetization = 0.00 2.75 0.00 1.06 0.00 1.91 0.00 0.00 μB per cell, in the order given.
Short version: N(E_F) = 1.29 0.27 0.49 0.50 0.53 0.47 0.35 0.30 states/eV per atom, in the order given.
Short version: formation energy from raw total energies = 8.32 5.06 3.92 9.79 9.14 8.34 3.42 -8.51 eV per formula unit, in the order given.